# 1
Entry from Alexandria via LeMat-Bulk: a geometry-optimized LaPdRh structure (GGA-PBE).

Results
Size of the total moment   0.00 μB per formula unit
Formation energy   -624.2 meV/atom
Density of states at the Fermi level   0.20 states/eV/atom
ΔE to the lowest computed polymorph   111 meV/atom

abc: 4.4107 4.4107 3.9838
angles: 90.00 90.00 120.00
Space group P-6m2 (No. 187)
Symmetry-distinct sites (fractional):
La1 0.0000 0.0000 0.0000 x1
Pd1 0.3333 0.6667 0.5000 x1
Rh1 0.6667 0.3333 0.5000 x1

# 2
Entry from Alexandria via LeMat-Bulk: a geometry-optimized La8PdRh5 structure (GGA-PBE).

Results
Size of the total moment   0.00 μB per formula unit
Formation energy   -723.9 meV/atom
Density of states at the Fermi level   0.64 states/eV/atom

abc: 9.0685 9.0685 8.9692
angles: 90.00 90.00 90.00
Space group I-4 (No. 82)
Symmetry-distinct sites (fractional):
La1 0.0557 0.3041 0.4292 x8
La2 0.0587 0.1881 0.8215 x8
Pd1 0.0000 0.5000 0.7500 x2
Rh1 0.0000 0.0000 0.5000 x2
Rh2 0.1286 0.2480 0.1243 x8

# 3
Entry from Alexandria via LeMat-Bulk: a geometry-optimized La6Pd5Rh structure (GGA-PBE).

Results
Size of the total moment   0.00 μB per formula unit
Formation energy   -751.4 meV/atom
Density of states at the Fermi level   0.79 states/eV/atom

abc: 16.4394 7.2489 5.1952
angles: 90.00 108.21 90.00
Space group C2/m (No. 12)
Symmetry-distinct sites (fractional):
La1 0.0000 0.2426 0.0000 x4
La2 0.1628 0.2463 0.6627 x8
Pd1 0.0000 0.5000 0.5000 x2
Pd2 0.1680 0.5000 0.1673 x4
Pd3 0.1740 0.0000 0.1737 x4
Rh1 0.0000 0.0000 0.5000 x2

# 4
Entry from Alexandria via LeMat-Bulk: a geometry-optimized La3Pd2Rh structure (GGA-PBE).

Results
Size of the total moment   0.00 μB per formula unit
Formation energy   -745.8 meV/atom
Density of states at the Fermi level   0.65 states/eV/atom

abc: 5.1680 7.2540 8.1752
angles: 90.00 108.42 90.00
Space group P2/m (No. 10)
Symmetry-distinct sites (fractional):
La1 0.0000 0.2457 0.0000 x2
La2 0.3300 0.2417 0.6597 x4
Pd1 0.1641 0.5000 0.3299 x2
Pd2 0.5000 0.0000 0.0000 x1
Pd3 0.5000 0.5000 0.0000 x1
Rh1 0.1634 0.0000 0.3217 x2

# 5
Entry from Alexandria via LeMat-Bulk: a geometry-optimized La4PdRh2 structure (GGA-PBE).

Results
Size of the total moment   0.00 μB per formula unit
Formation energy   -731.3 meV/atom
Density of states at the Fermi level   0.38 states/eV/atom

abc: 12.9037 12.9409 8.9508
angles: 90.00 90.00 90.00
Space group Fdd2 (No. 43)
Symmetry-distinct sites (fractional):
La1 0.0662 0.3758 0.0000 x16
La2 0.1242 0.0666 0.1486 x16
Pd1 0.0000 0.0000 0.8244 x8
Rh1 0.0602 0.3100 0.6996 x16

# 6
Entry from Alexandria via LeMat-Bulk: a geometry-optimized La8PdRh2 structure (GGA-PBE).

Results
Size of the total moment   0.00 μB per formula unit
Formation energy   -370.4 meV/atom
Density of states at the Fermi level   1.02 states/eV/atom

abc: 8.4204 13.7569 6.1661
angles: 90.00 109.45 90.00
Space group Cm (No. 8)
Symmetry-distinct sites (fractional):
La1 0.0000 0.0000 0.0000 x2
La2 0.0906 0.3773 0.7456 x4
La3 0.1484 0.1227 0.5914 x4
La4 0.2389 0.5000 0.3376 x2
La5 0.3690 0.2202 0.1687 x4
Pd1 0.3695 0.0000 0.1708 x2
Rh1 0.3696 0.2821 0.6687 x4

# 7
Entry from Alexandria via LeMat-Bulk: a geometry-optimized La4Pd2Rh structure (GGA-PBE).

Results
Size of the total moment   0.00 μB per formula unit
Formation energy   -675.9 meV/atom
Density of states at the Fermi level   0.88 states/eV/atom

abc: 11.7291 9.2556 7.7683
angles: 90.00 110.40 90.00
Space group Cm (No. 8)
Symmetry-distinct sites (fractional):
La1 0.0000 0.0000 0.0000 x2
La2 0.0014 0.5000 0.0001 x2
La3 0.2326 0.2586 0.3660 x4
La4 0.2354 0.2620 0.8625 x4
La5 0.4950 0.5000 0.4933 x2
La6 0.4990 0.0000 0.4937 x2
Pd1 0.2743 0.0000 0.1252 x2
Pd2 0.2748 0.0000 0.6417 x2
Pd3 0.4571 0.2505 0.2259 x4
Rh1 0.2665 0.5000 0.1265 x2
Rh2 0.2736 0.5000 0.6378 x2

# 8
Entry from Alexandria via LeMat-Bulk: a geometry-optimized La8PdRuRh2 structure (GGA-PBE).

Results
Size of the total moment   0.00 μB per formula unit
Formation energy   -467.9 meV/atom
Density of states at the Fermi level   0.92 states/eV/atom

abc: 6.7809 8.5525 6.8617
angles: 90.00 90.12 90.00
Space group P2/m (No. 10)
Symmetry-distinct sites (fractional):
La1 0.2277 0.0000 0.3410 x2
La2 0.2374 0.5000 0.3316 x2
La3 0.2646 0.2608 0.8348 x4
Pd1 0.5000 0.0000 0.0000 x1
Ru1 0.5000 0.5000 0.0000 x1
Rh1 0.0000 0.2501 0.5000 x2

# 9
Entry from Alexandria via LeMat-Bulk: a geometry-optimized La2Sb3Pd4Rh structure (GGA-PBE).

Results
Energy   -5.81 eV/atom
Size of the total moment   0.00 μB per formula unit
Density of states at the Fermi level   0.72 states/eV/atom

abc: 4.3573 4.3573 11.5484
angles: 90.00 90.00 90.00
Space group P-4m2 (No. 115)
Symmetry-distinct sites (fractional):
La1 0.0000 0.5000 0.2341 x2
Sb1 0.0000 0.0000 0.0000 x1
Sb2 0.0000 0.5000 0.6319 x2
Pd1 0.0000 0.0000 0.5000 x1
Pd2 0.0000 0.5000 0.8550 x2
Pd3 0.5000 0.5000 0.5000 x1
Rh1 0.5000 0.5000 0.0000 x1

# 10
Entry from Alexandria via LeMat-Bulk: a geometry-optimized La2Sb4PdRh3 structure (GGA-PBE).

Results
Energy   -6.24 eV/atom
Size of the total moment   0.00 μB per formula unit
Density of states at the Fermi level   0.66 states/eV/atom

abc: 4.6281 4.6281 10.4294
angles: 90.00 90.00 90.00
Space group P-4m2 (No. 115)
Symmetry-distinct sites (fractional):
La1 0.0000 0.5000 0.2458 x2
Sb1 0.0000 0.0000 0.5000 x1
Sb2 0.0000 0.5000 0.8682 x2
Sb3 0.5000 0.5000 0.5000 x1
Pd1 0.5000 0.5000 0.0000 x1
Rh1 0.0000 0.0000 0.0000 x1
Rh2 0.0000 0.5000 0.6197 x2

# 11
Entry from Alexandria via LeMat-Bulk: a geometry-optimized LaSbPdRh2 structure (GGA-PBE).

Results
Energy   -5.57 eV/atom
Size of the total moment   1.75 μB per formula unit
Density of states at the Fermi level   1.32 states/eV/atom

abc: 4.9815 4.9815 4.8543
angles: 90.00 90.00 90.00
Space group P4/mmm (No. 123)
Symmetry-distinct sites (fractional):
La1 0.0000 0.0000 0.0000 x1
Sb1 0.5000 0.5000 0.0000 x1
Pd1 0.5000 0.5000 0.5000 x1
Rh1 0.0000 0.5000 0.5000 x2

# 12
Entry from Alexandria via LeMat-Bulk: a geometry-optimized La2Sb3PdRh4 structure (GGA-PBE).

Results
Energy   -6.48 eV/atom
Size of the total moment   0.00 μB per formula unit
Density of states at the Fermi level   0.54 states/eV/atom

abc: 4.2128 4.2128 11.9480
angles: 90.00 90.00 90.00
Space group P-4m2 (No. 115)
Symmetry-distinct sites (fractional):
La1 0.0000 0.5000 0.2277 x2
Sb1 0.0000 0.0000 0.0000 x1
Sb2 0.0000 0.5000 0.6290 x2
Pd1 0.5000 0.5000 0.0000 x1
Rh1 0.0000 0.0000 0.5000 x1
Rh2 0.0000 0.5000 0.8440 x2
Rh3 0.5000 0.5000 0.5000 x1